Record 1
{"formula": "CaAcRu", "functional": "PBE", "state": "optimized geometry", "density_g_cm3": 6.9, "spacegroup": "P-1 (2)", "lattice": [[-2.076, 2.275, 1.882], [-1.676, -5.300, 4.509], [6.797, 1.676, 2.017]], "species": ["Ru", "Ru", "Ca", "Ca", "Ac", "Ac"], "fractional_positions": [[0.939, 0.324, 0.643], [0.939, 0.779, 0.646], [0.320, 0.995, 0.407], [0.558, 0.109, 0.882], [0.309, 0.484, 0.383], [0.569, 0.620, 0.905]]}

=====

Record 2
{"formula": "CaAc2Ru2", "functional": "PBE", "state": "optimized geometry", "density_g_cm3": 8.3, "spacegroup": "C2/c (15)", "lattice": [[5.976, 0.000, 0.000], [-2.988, 5.708, 0.026], [0.000, -2.593, 8.197]], "species": ["Ac", "Ac", "Ac", "Ac", "Ca", "Ca", "Ru", "Ru", "Ru", "Ru"], "fractional_positions": [[0.788, 0.301, 0.645], [0.486, 0.699, 0.855], [0.212, 0.699, 0.355], [0.514, 0.301, 0.145], [0.901, 0.000, 0.250], [0.099, 0.000, 0.750], [0.673, 0.688, 0.472], [0.327, 0.312, 0.528], [0.985, 0.312, 0.028], [0.015, 0.688, 0.972]]}

=====

Record 3
{"formula": "CaAc8Ru4", "functional": "PBE", "state": "optimized geometry", "density_g_cm3": 7.8, "spacegroup": "Cm (8)", "lattice": [[4.229, 0.000, 0.916], [1.911, 10.390, 1.398], [-0.147, 0.096, 10.900]], "species": ["Ac", "Ac", "Ac", "Ac", "Ac", "Ac", "Ac", "Ac", "Ru", "Ru", "Ru", "Ru", "Ca"], "fractional_positions": [[0.476, 0.344, 0.705], [0.556, 0.660, 0.229], [0.880, 0.679, 0.560], [0.151, 0.325, 0.374], [0.852, 0.988, 0.309], [0.180, 0.016, 0.624], [0.807, 0.348, 0.039], [0.225, 0.656, 0.895], [0.174, 0.499, 0.153], [0.857, 0.505, 0.780], [0.375, 0.821, 0.428], [0.656, 0.183, 0.505], [0.516, 0.001, 0.967]]}

=====

Record 4
{"formula": "CaAc7Ru3", "functional": "PBE", "state": "optimized geometry", "density_g_cm3": 7.8, "spacegroup": "P3m1 (156)", "lattice": [[7.055, 0.000, 0.000], [0.000, 8.192, 0.000], [0.000, -4.096, 7.095]], "species": ["Ac", "Ac", "Ac", "Ac", "Ac", "Ac", "Ac", "Ru", "Ru", "Ru", "Ca"], "fractional_positions": [[0.002, 0.667, 0.333], [0.563, 0.832, 0.664], [0.031, 0.664, 0.832], [0.031, 0.168, 0.336], [0.563, 0.832, 0.168], [0.563, 0.336, 0.168], [0.031, 0.168, 0.832], [0.780, 0.478, 0.956], [0.780, 0.044, 0.522], [0.780, 0.478, 0.522], [0.491, 0.333, 0.667]]}

=====

What E_form values result from the calculations? In sequence: 0.0057, -0.0118, -0.1656, -0.1116 eV/atom.